# 1
Computed, not measured: a geometry-optimized ZnPdSe2N structure at the PBE-GGA level of DFT.

Geometry as CIF:
```
data_ZnPdSe2N
_chemical_formula_sum 'Zn1 Pd1 Se2 N1'
_symmetry_space_group_name_H-M 'P 4/m m m'
_symmetry_Int_Tables_number 123
_symmetry_space_group_name_Hall '-P 4 2'
_cell_length_a 5.081
_cell_length_b 5.081
_cell_length_c 3.631
_cell_angle_alpha 90.00
_cell_angle_beta 90.00
_cell_angle_gamma 90.00
loop_
_atom_site_label
_atom_site_type_symbol
_atom_site_fract_x
_atom_site_fract_y
_atom_site_fract_z
Zn1 Zn 0.000 0.000 0.000
Pd1 Pd 0.500 0.500 0.500
Se1 Se 0.000 0.500 0.000
N1 N 0.000 0.000 0.500
```

Properties
For the formation energy without anion corrections, the calculation gives 90.5 kJ/mol of atoms. The energy above the most stable polymorph in this dataset is 218 meV/atom. Its density of states at the Fermi level is 4.27 states/eV/cell. As for the calculated volume: 18.75 Å³ per atom. Its crystal system is tetragonal.


# 2
Computed, not measured: a geometry-optimized ZrPdSe2N structure at the PBE-GGA level of DFT.

Geometry as CIF:
```
data_ZrPdSe2N
_chemical_formula_sum 'Zr1 Pd1 Se2 N1'
_symmetry_space_group_name_H-M 'P 4/m m m'
_symmetry_Int_Tables_number 123
_symmetry_space_group_name_Hall '-P 4 2'
_cell_length_a 5.092
_cell_length_b 5.092
_cell_length_c 3.724
_cell_angle_alpha 90.00
_cell_angle_beta 90.00
_cell_angle_gamma 90.00
loop_
_atom_site_label
_atom_site_type_symbol
_atom_site_fract_x
_atom_site_fract_y
_atom_site_fract_z
Zr1 Zr 0.000 0.000 0.000
Pd1 Pd 0.500 0.500 0.500
Se1 Se 0.000 0.500 0.500
N1 N 0.500 0.500 0.000
```

Properties
For the formation energy without anion corrections, the calculation gives 33.5 kJ/mol of atoms. The energy above the most stable polymorph in this dataset is 124 meV/atom. Its density of states at the Fermi level is 3.24 states/eV/cell. As for the calculated volume: 19.31 Å³ per atom. Its crystal system is tetragonal.


# 3
Computed, not measured: a geometry-optimized ZrPdSeN2 structure at the PBE-GGA level of DFT.

Geometry as CIF:
```
data_ZrPdSeN2
_chemical_formula_sum 'Zr1 Pd1 Se1 N2'
_symmetry_space_group_name_H-M 'P 4/m m m'
_symmetry_Int_Tables_number 123
_symmetry_space_group_name_Hall '-P 4 2'
_cell_length_a 4.018
_cell_length_b 4.018
_cell_length_c 4.783
_cell_angle_alpha 90.00
_cell_angle_beta 90.00
_cell_angle_gamma 90.00
loop_
_atom_site_label
_atom_site_type_symbol
_atom_site_fract_x
_atom_site_fract_y
_atom_site_fract_z
Zr1 Zr 0.000 0.000 0.000
Pd1 Pd 0.500 0.500 0.500
Se1 Se 0.500 0.500 0.000
N1 N 0.000 0.500 0.500
```

Properties
For the formation energy without anion corrections, the calculation gives 86.6 kJ/mol of atoms. The energy above the most stable polymorph in this dataset is 333 meV/atom. Its density of states at the Fermi level is 5.54 states/eV/cell. As for the calculated volume: 15.44 Å³ per atom. Its crystal system is tetragonal.


# 4
Computed, not measured: a geometry-optimized ZrPdSe2N structure at the PBE-GGA level of DFT.

Geometry as CIF:
```
data_ZrPdSe2N
_chemical_formula_sum 'Zr1 Pd1 Se2 N1'
_symmetry_space_group_name_H-M 'P 4/m m m'
_symmetry_Int_Tables_number 123
_symmetry_space_group_name_Hall '-P 4 2'
_cell_length_a 5.307
_cell_length_b 5.307
_cell_length_c 4.008
_cell_angle_alpha 90.00
_cell_angle_beta 90.00
_cell_angle_gamma 90.00
loop_
_atom_site_label
_atom_site_type_symbol
_atom_site_fract_x
_atom_site_fract_y
_atom_site_fract_z
Zr1 Zr 0.000 0.000 0.000
Pd1 Pd 0.500 0.500 0.500
Se1 Se 0.000 0.500 0.000
N1 N 0.000 0.000 0.500
```

Properties
For the formation energy without anion corrections, the calculation gives 21.5 kJ/mol of atoms. The energy above the most stable polymorph in this dataset is 0 meV/atom. Its density of states at the Fermi level is 7.60 states/eV/cell. As for the calculated volume: 22.57 Å³ per atom. Its crystal system is tetragonal.


# 5
Computed, not measured: a geometry-optimized ZrPdSeN2 structure at the PBE-GGA level of DFT.

Geometry as CIF:
```
data_ZrPdSeN2
_chemical_formula_sum 'Zr1 Pd1 Se1 N2'
_symmetry_space_group_name_H-M 'P 4/m m m'
_symmetry_Int_Tables_number 123
_symmetry_space_group_name_Hall '-P 4 2'
_cell_length_a 4.092
_cell_length_b 4.092
_cell_length_c 5.651
_cell_angle_alpha 90.00
_cell_angle_beta 90.00
_cell_angle_gamma 90.00
loop_
_atom_site_label
_atom_site_type_symbol
_atom_site_fract_x
_atom_site_fract_y
_atom_site_fract_z
Zr1 Zr 0.000 0.000 0.000
Pd1 Pd 0.500 0.500 0.500
Se1 Se 0.000 0.000 0.500
N1 N 0.000 0.500 0.000
```

Properties
For the formation energy without anion corrections, the calculation gives 54.4 kJ/mol of atoms. The energy above the most stable polymorph in this dataset is 0 meV/atom. Its density of states at the Fermi level is 5.72 states/eV/cell. As for the calculated volume: 18.92 Å³ per atom. Its crystal system is tetragonal.


# 6
Computed, not measured: a geometry-optimized SiPdN3 structure at the PBE-GGA level of DFT.

Geometry as CIF:
```
data_SiPdN3
_chemical_formula_sum 'Si1 Pd1 N3'
_symmetry_space_group_name_H-M 'P m -3 m'
_symmetry_Int_Tables_number 221
_symmetry_space_group_name_Hall '-P 4 2 3'
_cell_length_a 3.905
_cell_length_b 3.905
_cell_length_c 3.905
_cell_angle_alpha 90.00
_cell_angle_beta 90.00
_cell_angle_gamma 90.00
loop_
_atom_site_label
_atom_site_type_symbol
_atom_site_fract_x
_atom_site_fract_y
_atom_site_fract_z
Si1 Si 0.000 0.000 0.000
Pd1 Pd 0.500 0.500 0.500
N1 N 0.000 0.500 0.500
```

Properties
For the formation energy without anion corrections, the calculation gives 209.9 kJ/mol of atoms. Its density of states at the Fermi level is 5.55 states/eV/cell. As for the calculated volume: 11.91 Å³ per atom. Its crystal system is cubic.